Entry 1:
First-principles (GGA-PBEsol) data for a geometry-optimized PSe3 structure, as listed in Alexandria via LeMat-Bulk.

Properties
SG: R-3m
Crystal system: trigonal
Energy relative to the elements, uncorrected (kJ/mol of atoms): 13.2

a = 3.762 Å, b = 3.762 Å, c = 6.814 Å
α = 73.98°, β = 73.98°, γ = 60.00°
Sites, in units of the cell vectors:
P 0.000 0.000 0.000
Se 0.742 0.742 0.774
Se 0.500 0.500 0.500
Se 0.258 0.258 0.226

---

Entry 2:
First-principles (GGA-PBEsol) data for a geometry-optimized CaZnAs2 structure, as listed in Alexandria via LeMat-Bulk.

Properties
SG: I-4m2
Crystal system: tetragonal
Formation energy (eV/f.u.): -1.35

a = 4.030 Å, b = 4.030 Å, c = 5.551 Å
α = 111.28°, β = 111.28°, γ = 90.00°
Sites, in units of the cell vectors:
As 0.000 0.000 0.000
As 0.750 0.250 0.500
Ca 0.500 0.500 0.000
Zn 0.250 0.750 0.500

---

Entry 3:
First-principles (GGA-PBEsol) data for a geometry-optimized Sr2CaAlSe structure, as listed in Alexandria via LeMat-Bulk.

Properties
SG: P4/mmm
Crystal system: tetragonal
Energy relative to the elements, uncorrected (kJ/mol of atoms): -57.7

a = 5.386 Å, b = 5.823 Å, c = 5.823 Å
α = 90.00°, β = 90.00°, γ = 90.00°
Sites, in units of the cell vectors:
Sr 0.000 0.000 0.500
Sr 0.000 0.500 0.000
Ca 0.500 0.000 0.000
Al 0.500 0.500 0.500
Se 0.000 0.000 0.000

---

Entry 4:
First-principles (GGA-PBEsol) data for a geometry-optimized TiFeMo2 structure, as listed in Alexandria via LeMat-Bulk.

Properties
SG: Fm-3m
Crystal system: cubic
Formation energy (eV/f.u.): 0.31

a = 4.282 Å, b = 4.282 Å, c = 4.282 Å
α = 60.00°, β = 60.00°, γ = 60.00°
Sites, in units of the cell vectors:
Mo 0.250 0.250 0.250
Mo 0.750 0.750 0.750
Fe 0.500 0.500 0.500
Ti 0.000 0.000 0.000

---

Entry 5:
First-principles (GGA-PBEsol) data for a geometry-optimized Ce2Ga12Cu structure, as listed in Alexandria via LeMat-Bulk.

Properties
SG: P4/nbm
Crystal system: tetragonal
Formation energy (eV/f.u.): -5.33

a = 6.022 Å, b = 6.022 Å, c = 15.074 Å
α = 90.00°, β = 90.00°, γ = 90.00°
Sites, in units of the cell vectors:
Ce 0.000 0.500 0.756
Ce 0.500 0.000 0.756
Ce 0.000 0.500 0.244
Ce 0.500 0.000 0.244
Ga 0.671 0.171 0.428
Ga 0.671 0.829 0.572
Ga 0.171 0.671 0.572
Ga 0.829 0.329 0.572
Ga 0.500 0.500 0.181
Ga 0.500 0.500 0.819
Ga 0.000 0.000 0.819
Ga 0.000 0.000 0.181
Ga 0.500 0.500 0.341
Ga 0.500 0.500 0.659
Ga 0.000 0.000 0.659
Ga 0.000 0.000 0.341
Ga 0.250 0.750 0.914
Ga 0.250 0.250 0.914
Ga 0.750 0.750 0.914
Ga 0.250 0.250 0.086
Ga 0.750 0.750 0.086
Ga 0.750 0.250 0.914
Ga 0.750 0.250 0.086
Ga 0.250 0.750 0.086
Ga 0.329 0.829 0.428
Ga 0.171 0.329 0.428
Ga 0.829 0.671 0.428
Ga 0.329 0.171 0.572
Cu 0.500 0.000 0.000
Cu 0.000 0.500 0.000

---

Entry 6:
First-principles (GGA-PBEsol) data for a geometry-optimized Li2Mn2Pd structure, as listed in Alexandria via LeMat-Bulk.

Properties
SG: I4/mmm
Crystal system: tetragonal
Formation energy (eV/f.u.): 1.98

a = 2.969 Å, b = 2.969 Å, c = 8.366 Å
α = 100.22°, β = 100.22°, γ = 90.00°
Sites, in units of the cell vectors:
Mn 0.250 0.750 0.500
Mn 0.750 0.250 0.500
Pd 0.000 0.000 0.000
Li 0.399 0.399 0.799
Li 0.601 0.601 0.201

---

Looking at D(E_F) for the records above, in order, we have 2.03; 1.60; 4.93; 3.90; 12.51; 4.25 states/eV/f.u..
Looking at final energy for the records above, in order, we have -4.199; -3.820; -3.349; -10.129; -4.196; -5.486 eV/atom.